Below is a geometry-optimized Ta2O structure, with properties calculated at the PBE level.

Cell and atoms, written as POSCAR:
```
Ta2O
1.0
-4.0290 3.3740 3.6635
2.2741 4.4726 3.9827
-1.0188 6.2033 -1.2326
O Ta
2 4
Cartesian
0.0000 0.0000 0.0000 O
-2.0803 10.5374 4.8102 O
-3.5640 10.0573 3.6206 Ta
-1.9176 9.1920 6.2282 Ta
-2.4270 12.2936 5.6119 Ta
-0.4125 10.6066 3.7802 Ta
```

Computed properties:
space group = No. 227
size of the total moment = 0.014 μB/cell
ΔE to the lowest computed polymorph = 0.000 eV/f.u.

Below is a geometry-optimized LiPtO4 structure, with properties calculated at the PBE level.

Cell and atoms, written as POSCAR:
```
LiPtO4
1.0
4.5224 0.0000 0.0000
0.0000 3.0768 0.0000
-0.0191 0.0000 4.5376
O Li Pt
4 1 1
Cartesian
1.3670 0.0000 0.8845 O
3.5634 1.5384 1.3163 O
0.9398 1.5384 3.2213 O
3.1362 0.0000 3.6530 O
-0.0096 0.0000 2.2688 Li
2.2612 1.5384 0.0000 Pt
```

Computed properties:
space group = No. 10
size of the total moment = 0.957 μB/cell
ΔE to the lowest computed polymorph = 0.887 eV/f.u.

Below is a geometry-optimized LuFeSiHg structure, with properties calculated at the PBE level.

Cell and atoms, written as POSCAR:
```
LuFeSiHg
1.0
0.0000 3.3044 3.3044
3.3044 0.0000 3.3044
3.3044 3.3044 0.0000
Si Fe Lu Hg
1 1 1 1
Cartesian
0.0000 0.0000 0.0000 Si
4.9565 4.9565 4.9565 Fe
3.3044 3.3044 3.3044 Lu
1.6522 1.6522 1.6522 Hg
```

Computed properties:
space group = No. 216
size of the total moment = 2.052 μB/cell
ΔE to the lowest computed polymorph = 0.629 eV/f.u.

Below is a geometry-optimized GdMgZn structure, with properties calculated at the PBE level.

Cell and atoms, written as POSCAR:
```
GdMgZn
1.0
-1.4230 -6.2809 1.0185
3.8323 -4.4254 -1.8301
3.6483 1.0795 7.2230
Gd Zn Mg
4 4 4
Cartesian
2.2053 -6.0264 4.5760 Gd
5.5936 -4.6201 5.0086 Gd
3.2717 -3.0626 2.3557 Gd
1.1137 -8.5653 -0.1052 Gd
4.5123 -8.2037 4.2543 Zn
3.0260 -4.8223 7.1414 Zn
0.3022 -3.1646 0.9378 Zn
4.0255 -8.6640 1.4039 Zn
0.8453 -0.5058 1.4983 Mg
4.5666 -6.1659 2.3235 Mg
3.2025 -2.6449 5.5334 Mg
1.8865 -5.6277 1.1016 Mg
```

Computed properties:
space group = No. 1
size of the total moment = 0.055 μB/cell
E_tot = -2.6323 eV per atom

Below is a geometry-optimized Cd2TeO structure, with properties calculated at the PBE level.

Cell and atoms, written as POSCAR:
```
Cd2TeO
1.0
4.0123 0.0000 0.0000
-2.0061 3.4748 0.0000
0.0000 0.0000 13.0175
Te Cd O
2 4 2
Cartesian
2.0061 1.1583 1.4206 Te
0.0000 2.3165 7.9294 Te
2.0061 1.1583 10.0754 Cd
0.0000 0.0000 6.3118 Cd
0.0000 0.0000 12.8205 Cd
0.0000 2.3165 3.5666 Cd
0.0000 0.0000 10.6706 O
0.0000 0.0000 4.1618 O
```

Computed properties:
space group = No. 186
ΔE to the lowest computed polymorph = 0.396 eV/f.u.

Below is a geometry-optimized LiHfAs2 structure, with properties calculated at the PBE level.

Cell and atoms, written as POSCAR:
```
LiHfAs2
1.0
0.0000 3.2903 3.2903
3.2903 0.0000 3.2903
3.2903 3.2903 0.0000
Li As Hf
1 2 1
Cartesian
3.2903 3.2903 3.2903 Li
0.0000 0.0000 0.0000 As
4.9355 4.9355 4.9355 As
1.6451 1.6451 1.6451 Hf
```

Computed properties:
space group = No. 216
size of the total moment = 0.065 μB/cell
E_tot = -5.3099 eV per atom

Below is a geometry-optimized Gd3MgIn2AgPt2 structure, with properties calculated at the PBE level.

Cell and atoms, written as POSCAR:
```
Gd3MgIn2AgPt2
1.0
3.9709 0.0000 0.0000
0.0000 6.6914 3.8381
0.0000 -6.6914 3.8381
Ag In Pt Gd Mg
1 2 2 3 1
Cartesian
0.0000 0.0000 7.5928 Ag
1.9855 -1.7172 0.9880 In
1.9855 1.7172 0.9880 In
1.9855 2.1962 3.8857 Pt
1.9855 -2.1962 3.8857 Pt
0.0000 3.8844 2.2544 Gd
0.0000 0.0000 3.1720 Gd
0.0000 -3.8844 2.2544 Gd
1.9855 0.0000 5.6837 Mg
```

Computed properties:
space group = No. 38
size of the total moment = 0.016 μB/cell
E_tot = -4.7850 eV per atom

Below is a geometry-optimized PrGeH2O4 structure, with properties calculated at the PBE level.

Cell and atoms, written as POSCAR:
```
PrGeH2O4
1.0
6.8054 0.0000 -0.7596
0.0000 6.4424 0.0000
-1.7728 0.0000 4.6398
O Pr H Ge
8 2 4 2
Cartesian
-0.0679 3.4081 1.4586 O
1.7492 4.8318 4.1385 O
2.4508 4.8318 1.6611 O
5.1005 3.0343 2.4217 O
5.1005 0.1869 2.4217 O
3.2834 1.6106 -0.2583 O
-0.0679 6.2555 1.4586 O
2.5818 1.6106 2.2192 O
1.0673 1.6106 0.3479 Pr
3.9653 4.8318 3.5324 Pr
2.2123 1.6106 3.2637 H
-0.8864 3.2212 2.3199 H
2.8202 4.8318 0.6165 H
-0.8864 0.0000 2.3199 H
0.8446 4.8318 2.5124 Ge
4.1880 1.6106 1.3678 Ge
```

Computed properties:
space group = No. 11
size of the total moment = 0.000 μB/cell
ΔE to the lowest computed polymorph = 0.452 eV/f.u.

Below is a geometry-optimized YTaCuSn structure, with properties calculated at the PBE level.

Cell and atoms, written as POSCAR:
```
YTaCuSn
1.0
0.0000 3.4590 3.4590
3.4590 0.0000 3.4590
3.4590 3.4590 0.0000
Sn Ta Cu Y
1 1 1 1
Cartesian
0.0000 0.0000 0.0000 Sn
1.7295 1.7295 1.7295 Ta
5.1885 5.1885 5.1885 Cu
3.4590 3.4590 3.4590 Y
```

Computed properties:
space group = No. 216
size of the total moment = 1.797 μB/cell
ΔE to the lowest computed polymorph = 0.000 eV/f.u.

Below is a geometry-optimized LiPaTl structure, with properties calculated at the PBE level.

Cell and atoms, written as POSCAR:
```
LiPaTl
1.0
4.3797 0.8805 2.2828
0.8363 -1.8067 4.6049
3.2758 -3.7401 0.6704
Li Tl Pa
1 1 1
Cartesian
2.1230 -1.1666 1.8895 Li
6.3689 -3.4998 5.6686 Tl
0.0000 0.0000 0.0000 Pa
```

Computed properties:
space group = No. 216
size of the total moment = 1.305 μB/cell
ΔE to the lowest computed polymorph = 1.130 eV/f.u.

Below is a geometry-optimized Ag2Mo structure, with properties calculated at the PBE level.

Cell and atoms, written as POSCAR:
```
Ag2Mo
1.0
7.7532 0.0000 0.0000
0.0000 4.8568 0.0000
-1.2365 0.0000 5.3189
Ag Mo
8 4
Cartesian
5.6034 1.4643 0.6649 Ag
4.3003 3.9295 1.1279 Ag
4.9851 0.9641 3.3244 Ag
1.5315 3.8928 1.9945 Ag
2.8346 1.5010 1.5316 Ag
0.9132 3.3925 4.6540 Ag
3.6820 3.3558 3.7873 Ag
2.2163 0.9274 4.1911 Ag
7.1318 3.8005 0.2265 Mo
-0.6151 1.0564 5.0925 Mo
6.5135 3.4848 2.8859 Mo
0.0032 1.3721 2.4330 Mo
```

Computed properties:
space group = No. 14
size of the total moment = 0.005 μB/cell
formation energy = 382 meV/atom
ΔE to the lowest computed polymorph = 0.000 eV/f.u.

Below is a geometry-optimized Tc2MoOs2 structure, with properties calculated at the PBE level.

Cell and atoms, written as POSCAR:
```
Tc2MoOs2
1.0
-1.9015 1.9015 5.6923
1.9015 -1.9015 5.6923
1.9015 1.9015 -5.6923
Os Mo Tc
2 1 2
Cartesian
0.0000 0.0000 6.8702 Os
0.0000 0.0000 4.5145 Os
0.0000 0.0000 0.0000 Mo
1.9015 0.0000 2.8462 Tc
0.0000 1.9015 2.8462 Tc
```

Computed properties:
space group = No. 139
size of the total moment = 0.023 μB/cell
formation energy = 630 meV/atom

Below is a geometry-optimized LuMgNiSb structure, with properties calculated at the PBE level.

Cell and atoms, written as POSCAR:
```
LuMgNiSb
1.0
0.1551 2.8836 3.9114
-1.1566 4.7052 -0.4013
-4.1271 1.6644 1.9582
Ni Mg Sb Lu
1 1 1 1
Cartesian
-3.8465 6.9400 4.1012 Ni
-2.5643 4.6267 2.7341 Mg
0.0000 0.0000 0.0000 Sb
-1.2822 2.3133 1.3671 Lu
```

Computed properties:
space group = No. 216
size of the total moment = 0.000 μB/cell
ΔE to the lowest computed polymorph = 0.161 eV/f.u.

Below is a geometry-optimized DyBiPd structure, with properties calculated at the PBE level.

Cell and atoms, written as POSCAR:
```
DyBiPd
1.0
-3.6682 1.0383 2.8255
-4.2774 0.8374 -1.8762
-3.5057 -3.1435 0.5885
Dy Bi Pd
1 1 1
Cartesian
-8.5885 -0.9508 1.1534 Dy
-2.8628 -0.3169 0.3845 Bi
0.0000 0.0000 0.0000 Pd
```

Computed properties:
space group = No. 216
size of the total moment = 0.001 μB/cell
E_tot = -5.5600 eV per atom

Below is a geometry-optimized LiZnPO4 structure, with properties calculated at the PBE level.

Cell and atoms, written as POSCAR:
```
LiZnPO4
1.0
-0.0821 4.3211 2.3443
-3.4021 -0.3081 -3.5362
-4.0273 -2.2866 4.0737
Zn Li O P
2 2 8 2
Cartesian
-1.7421 2.0065 -0.5960 Zn
-3.7557 0.8632 1.4409 Zn
-3.6636 1.8238 4.4058 Li
-3.8478 -0.0974 -1.5240 Li
-1.9055 0.1968 0.5613 O
-6.4053 -1.3152 1.8518 O
-3.8018 2.3808 -0.0874 O
-5.6059 1.5297 2.3205 O
-4.7507 -0.3757 0.1781 O
-1.1061 3.0416 1.0300 O
-3.7097 -0.6544 2.9692 O
-2.7607 2.1022 2.7037 O
-1.5858 3.0565 2.4825 P
-5.9256 -1.3301 0.3992 P
```

Computed properties:
space group = No. 63
ΔE to the lowest computed polymorph = 0.448 eV/f.u.

Below is a geometry-optimized LuSbPd2 structure, with properties calculated at the PBE level.

Cell and atoms, written as POSCAR:
```
LuSbPd2
1.0
2.3441 -4.0601 0.0000
2.3441 4.0601 0.0000
0.0000 0.0000 8.3635
Pd Lu Sb
4 2 2
Cartesian
2.3441 1.3534 4.9387 Pd
2.3441 -1.3534 3.4248 Pd
2.3441 1.3534 7.6066 Pd
2.3441 -1.3534 0.7570 Pd
0.0000 0.0000 4.1818 Lu
0.0000 0.0000 0.0000 Lu
2.3441 -1.3534 6.2726 Sb
2.3441 1.3534 2.0909 Sb
```

Computed properties:
space group = No. 194
size of the total moment = 0.000 μB/cell
ΔE to the lowest computed polymorph = 0.359 eV/f.u.

Below is a geometry-optimized ThTcBi structure, with properties calculated at the PBE level.

Cell and atoms, written as POSCAR:
```
ThTcBi
1.0
0.0000 3.5004 3.5004
3.5004 0.0000 3.5004
3.5004 3.5004 0.0000
Bi Th Tc
1 1 1
Cartesian
0.0000 0.0000 0.0000 Bi
5.2506 5.2506 5.2506 Th
1.7502 1.7502 1.7502 Tc
```

Computed properties:
space group = No. 216
size of the total moment = 1.842 μB/cell
ΔE to the lowest computed polymorph = 0.000 eV/f.u.

Below is a geometry-optimized TaTlO3 structure, with properties calculated at the PBE level.

Cell and atoms, written as POSCAR:
```
TaTlO3
1.0
4.2278 0.0172 3.5947
-0.2960 -3.0203 4.6462
3.6667 -5.4618 -0.0027
Tl O Ta
2 6 2
Cartesian
2.7266 -3.6820 1.0944 Tl
4.8719 -4.7829 7.1438 Tl
3.0296 -5.8972 2.5898 O
4.8969 -6.2522 4.7659 O
2.0250 -3.9369 5.6899 O
4.5689 -2.5677 5.6485 O
5.5735 -4.5280 2.5484 O
2.7016 -2.2126 3.4724 O
2.6910 -2.1341 5.4125 Ta
4.9075 -6.3307 2.8257 Ta
```

Computed properties:
space group = No. 148
size of the total moment = 0.000 μB/cell
E_tot = -8.0126 eV per atom

Below is a geometry-optimized Dy2Y2Tm2LuNi2Te2 structure, with properties calculated at the PBE level.

Cell and atoms, written as POSCAR:
```
Dy2Y2Tm2LuNi2Te2
1.0
-3.9524 -6.1158 -5.8322
1.7715 -2.7326 8.7427
-4.8151 4.1030 -6.8571
Tm Lu Y Dy Te Ni
2 1 2 2 2 2
Cartesian
-5.6020 -3.5491 -2.5658 Tm
0.8353 -2.0712 6.7508 Tm
-1.0388 -4.2146 1.3863 Lu
-2.9851 -1.5041 -3.7252 Y
-6.2103 -2.2445 -8.3931 Y
-3.3445 -1.8005 -0.1927 Dy
-0.7793 -1.2116 3.5199 Dy
-4.9128 -3.1529 -5.6386 Te
-0.3032 -1.2300 0.4046 Te
-2.9808 -4.0514 -1.8670 Ni
-3.5937 1.0164 -2.6421 Ni
```

Computed properties:
space group = No. 44
size of the total moment = 0.007 μB/cell
ΔE to the lowest computed polymorph = 0.122 eV/f.u.

Below is a geometry-optimized Ta2AlC structure, with properties calculated at the PBE level.

Cell and atoms, written as POSCAR:
```
Ta2AlC
1.0
-2.0585 -2.8499 -4.0525
-2.4995 -4.6440 0.9840
-10.5774 9.2976 2.3858
Al Ta C
6 12 6
Cartesian
-5.6460 -2.5216 -1.8658 Al
-4.1277 -0.0263 -0.8440 Al
-9.4895 4.3253 1.1831 Al
-11.0077 1.8301 0.1613 Al
-5.1071 -2.1700 1.1605 Al
-10.0283 3.9737 -1.8432 Al
-3.0232 -2.6611 -0.7360 Ta
-13.6304 1.9662 -0.9698 Ta
-12.1122 4.4649 0.0533 Ta
-6.8971 -0.4832 -0.2994 Ta
-8.4153 -2.9820 -1.3222 Ta
-9.7588 -0.2102 -1.4059 Ta
-10.5918 6.9620 1.0761 Ta
-1.5050 -0.1625 0.2872 Ta
-4.5437 -5.1583 -1.7587 Ta
-5.3766 2.0140 0.7232 Ta
-8.2384 2.2870 -0.3833 Ta
-6.7201 4.7858 0.6396 Ta
-7.2978 1.0779 1.1744 C
-1.2498 -2.3220 0.4920 C
-7.8376 0.7258 -1.8571 C
-2.7694 -4.8206 -0.5303 C
-1.7886 -2.6732 -2.5382 C
-6.3180 3.2239 -0.8333 C
```

Computed properties:
space group = No. 194
size of the total moment = 0.003 μB/cell
E_tot = -9.6985 eV per atom